Entry 1:
KSbAs2 | PBE-GGA | relaxed

abc: 7.7496 7.7496 7.0954
angles: 56.90 56.90 90.00
Fractional positions:
Sb 0.0000 0.0000 0.0000
Sb 0.7500 0.2500 0.5000
As 0.6996 0.1250 0.2500
As 0.0504 0.6250 0.2500
As 0.3750 0.3004 0.7500
As 0.8750 0.9496 0.7500
K 0.5000 0.5000 0.0000
K 0.2500 0.7500 0.5000

Summary:
Uncorrected formation energy (eV per atom): -0.102
Total DFT energy (no corrections) (eV/atom): -3.732


Entry 2:
ZnBiP3 | PBE-GGA | relaxed

abc: 5.2833 5.2833 5.2833
angles: 90.00 90.00 90.00
Last column: magnetic moment on the atom in μB.
Fractional positions:
P 0.0000 0.5000 0.0000  0.28
P 0.0000 0.0000 0.5000  0.23
P 0.5000 0.0000 0.0000  0.20
Zn 0.5000 0.5000 0.5000  0.04
Bi 0.0000 0.0000 0.0000  0.00

Summary:
Distance to the lowest polymorph of the same formula (meV per atom): 709
Energy relative to the elements (eV per atom): 1.462
Total DFT energy (no corrections) (eV/atom): -2.815


Entry 3:
PmSmCu | PBE-GGA | relaxed

abc: 3.5628 3.5628 6.7835
angles: 105.23 105.23 90.00
Fractional positions:
Sm 0.0282 0.0282 0.0565
Cu 0.6651 0.6651 0.3301
Pm 0.3067 0.3067 0.6134

Summary:
Distance to the lowest polymorph of the same formula (meV per atom): 29
Energy relative to the elements (eV per atom): -0.084
Total DFT energy (no corrections) (eV/atom): -4.606


Entry 4:
SrScSn3 | PBE-GGA | relaxed

abc: 5.4995 5.4995 5.4995
angles: 90.00 90.00 90.00
Fractional positions:
Sc 0.0000 0.0000 0.0000
Sr 0.5000 0.5000 0.5000
Sn 0.0000 0.5000 0.0000
Sn 0.0000 0.0000 0.5000
Sn 0.5000 0.0000 0.0000

Summary:
Distance to the lowest polymorph of the same formula (meV per atom): 0
Energy relative to the elements (eV per atom): -0.221
Total DFT energy (no corrections) (eV/atom): -4.226


Entry 5:
Hf2BeBi | PBE-GGA | relaxed

abc: 3.6249 3.6249 7.6409
angles: 76.28 76.28 60.00
Fractional positions:
Be 0.0000 0.0000 0.0000
Hf 0.2712 0.2712 0.1865
Hf 0.7288 0.7288 0.8135
Bi 0.5000 0.5000 0.5000

Summary:
Distance to the lowest polymorph of the same formula (meV per atom): 0
Energy relative to the elements (eV per atom): 0.065
Total DFT energy (no corrections) (eV/atom): -6.813


Entry 6:
BaB2I8 | PBE-GGA | relaxed

abc: 11.0913 11.8815 12.0000
angles: 55.24 62.47 62.18
Fractional positions:
Ba 0.0403 0.7500 0.2500
Ba 0.9597 0.2500 0.7500
B 0.8585 0.8604 0.9329
B 0.3482 0.3604 0.4329
B 0.6518 0.6396 0.5671
B 0.1415 0.1396 0.0671
I 0.4567 0.7442 0.5009
I 0.1012 0.9829 0.3005
I 0.7766 0.9897 0.0559
I 0.2585 0.1982 0.4755
I 0.2234 0.0103 0.9441
I 0.9322 0.3018 0.0245
I 0.7415 0.8018 0.5245
I 0.1779 0.4897 0.5559
I 0.0678 0.6982 0.9755
I 0.7018 0.7558 0.9991
I 0.6154 0.4829 0.8005
I 0.3846 0.5171 0.1995
I 0.2982 0.2442 0.0009
I 0.8221 0.5103 0.4441
I 0.5433 0.2558 0.4991
I 0.8988 0.0171 0.6995

Summary:
Uncorrected formation energy (eV per atom): -0.501
Total DFT energy (no corrections) (eV/atom): -3.017


Entry 7:
Pr3MgOs | PBE-GGA | relaxed

abc: 5.6152 5.6152 5.6152
angles: 90.00 90.00 90.00
Fractional positions:
Pr 0.0000 0.5000 0.0000
Pr 0.0000 0.0000 0.5000
Pr 0.5000 0.0000 0.0000
Mg 0.5000 0.5000 0.5000
Os 0.0000 0.0000 0.0000

Summary:
Distance to the lowest polymorph of the same formula (meV per atom): 120
Energy relative to the elements (eV per atom): 0.098
Total DFT energy (no corrections) (eV/atom): -5.335


Entry 8:
CuTc2SbO | PBE-GGA | relaxed

abc: 4.0355 4.7285 4.0355
angles: 90.00 90.00 90.00
Last column: magnetic moment on the atom in μB.
Fractional positions:
O 0.0000 0.0000 0.0000  0.11
Sb 0.0000 0.5000 0.0000  -0.01
Tc 0.0000 0.0000 0.5000  0.55
Tc 0.5000 0.0000 0.0000  0.89
Cu 0.5000 0.5000 0.5000  0.02

Summary:
Uncorrected formation energy (eV per atom): 0.388
Total DFT energy (no corrections) (eV/atom): -6.394


Question: The highest total DFT energy (no corrections) belongs to which entry?
Answer: ZnBiP3


Question: total DFT energy (no corrections) of number 3 (PmSmCu)?
Answer: -4.606 eV/atom


Question: Among the records above, which one has the lowest total DFT energy (no corrections)?
Answer: Hf2BeBi